[1]
The following is a DFT calculation (PBE) of a geometry-optimized AcTlCu structure.

It has space group P-6m2 (No. 187), with a = 4.8507 Å, b = 4.8507 Å, c = 4.0775 Å, α = 90.00°, β = 90.00° and γ = 120.00°. The inequivalent atoms are Ac at (0.0000, 0.0000, 0.0000), Tl at (0.6667, 0.3333, 0.5000) and Cu at (0.3333, 0.6667, 0.5000).

The formation energy is -206 meV/atom.

[2]
The following is a DFT calculation (PBE) of a geometry-optimized Ac4TlCu structure.

It has space group P2_1/m (No. 11), with a = 6.719 Å, b = 7.598 Å, c = 8.845 Å, α = 90.00°, β = 94.65° and γ = 90.00°. The inequivalent atoms are Ac at (0.104, 0.250, 0.076), Ac at (0.138, 0.750, 0.370), Ac at (0.389, 0.503, 0.772), Tl at (0.290, 0.250, 0.444) and Cu at (0.331, 0.750, 0.049).

The formation energy is -114 meV/atom.

[3]
The following is a DFT calculation (PBE) of a geometry-optimized AcTmTlCu structure.

It has space group F-43m (No. 216), with a = 7.660 Å, b = 7.660 Å, c = 7.660 Å, α = 90.00°, β = 90.00° and γ = 90.00°. The inequivalent atoms are Ac at (0.000, 0.000, 0.000), Tm at (0.000, 0.000, 0.500), Tl at (0.250, 0.250, 0.750) and Cu at (0.250, 0.250, 0.250).

The formation energy is -152 meV/atom.

[4]
The following is a DFT calculation (PBE) of a geometry-optimized AcTm3Cu structure.

It has space group Pm-3m (No. 221), with a = 5.383 Å, b = 5.383 Å, c = 5.383 Å, α = 90.00°, β = 90.00° and γ = 90.00°. The inequivalent atoms are Ac at (0.000, 0.000, 0.000), Tm at (0.000, 0.500, 0.500) and Cu at (0.500, 0.500, 0.500).

The formation energy is 19 meV/atom.

[5]
The following is a DFT calculation (PBE) of a geometry-optimized AcTmCu4 structure.

It has space group Immm (No. 71), with a = 4.145 Å, b = 7.616 Å, c = 7.701 Å, α = 90.00°, β = 90.00° and γ = 90.00°. The inequivalent atoms are Ac at (0.000, 0.000, 0.000), Tm at (0.000, 0.500, 0.000) and Cu at (0.000, 0.230, 0.338).

The formation energy is -199 meV/atom.

[6]
The following is a DFT calculation (PBE) of a geometry-optimized AcTmCu4 structure.

It has space group F-43m (No. 216), with a = 7.652 Å, b = 7.652 Å, c = 7.652 Å, α = 90.00°, β = 90.00° and γ = 90.00°. The inequivalent atoms are Ac at (0.000, 0.000, 0.000), Tm at (0.250, 0.250, 0.250) and Cu at (0.122, 0.122, 0.622).

The formation energy is -46 meV/atom.

[7]
The following is a DFT calculation (PBE) of a geometry-optimized AcTmCu2 structure.

It has space group R-3m (No. 166, hexagonal axes), with a = 4.7892 Å, b = 4.7892 Å, c = 15.1331 Å, α = 90.00°, β = 90.00° and γ = 120.00°. The inequivalent atoms are Ac at (0.0000, 0.0000, 0.0000), Tm at (0.0000, 0.0000, 0.5000) and Cu at (0.0000, 0.0000, 0.2040).

The formation energy is -148 meV/atom.

[8]
The following is a DFT calculation (PBE) of a geometry-optimized AcTmCu2 structure.

It has space group Fm-3m (No. 225), with a = 7.260 Å, b = 7.260 Å, c = 7.260 Å, α = 90.00°, β = 90.00° and γ = 90.00°. The inequivalent atoms are Ac at (0.000, 0.000, 0.000), Tm at (0.000, 0.000, 0.500) and Cu at (0.250, 0.250, 0.250).

The formation energy is -109 meV/atom.

Number 1: volume 83.1 Å³/cell. Number 2: volume 450.1 Å³/cell. Number 3: volume 449.4 Å³/cell. Number 4: volume 156.0 Å³/cell. Number 5: volume 243.1 Å³/cell. Number 6: volume 448.1 Å³/cell. Number 7: volume 300.6 Å³/cell. Number 8: volume 382.7 Å³/cell.